First-principles (PBE) data for crystalline Ba2PmAuO6 at its relaxed geometry, as listed in Alexandria.

E_form (uncorrected)   -1997 meV per atom
Space-group type   No. 225

```
data_Ba2PmAuO6
_cell_length_a 6.0847
_cell_length_b 6.0847
_cell_length_c 6.0847
_cell_angle_alpha 60.00
_cell_angle_beta 60.00
_cell_angle_gamma 60.00
_symmetry_space_group_name_H-M 'P 1'
_symmetry_Int_Tables_number 1
loop_
_symmetry_equiv_pos_as_xyz
'x,y,z'
loop_
_atom_site_label
_atom_site_type_symbol
_atom_site_fract_x
_atom_site_fract_y
_atom_site_fract_z
Ba1 Ba 0.7500 0.7500 0.7500
Ba2 Ba 0.2500 0.2500 0.2500
Pm1 Pm 0.5000 0.5000 0.5000
Au1 Au 0.0000 0.0000 0.0000
O1 O 0.2359 0.7641 0.7641
O2 O 0.2359 0.7641 0.2359
O3 O 0.2359 0.2359 0.7641
O4 O 0.7641 0.7641 0.2359
O5 O 0.7641 0.2359 0.2359
O6 O 0.7641 0.2359 0.7641
```

***

First-principles (PBE) data for crystalline Tl2ZnCrGa at its relaxed geometry, as listed in Alexandria.

Formation energy from the elements   64.04 kJ per mole of atoms
Space-group type   No. 123

```
data_Tl2ZnCrGa
_cell_length_a 5.2655
_cell_length_b 5.0137
_cell_length_c 5.2655
_cell_angle_alpha 90.00
_cell_angle_beta 90.00
_cell_angle_gamma 90.00
_symmetry_space_group_name_H-M 'P 1'
_symmetry_Int_Tables_number 1
loop_
_symmetry_equiv_pos_as_xyz
'x,y,z'
loop_
_atom_site_label
_atom_site_type_symbol
_atom_site_fract_x
_atom_site_fract_y
_atom_site_fract_z
Cr1 Cr 0.0000 0.5000 0.0000
Tl1 Tl 0.0000 0.0000 0.5000
Tl2 Tl 0.5000 0.0000 0.0000
Zn1 Zn 0.0000 0.0000 0.0000
Ga1 Ga 0.5000 0.5000 0.5000
```